The following is a DFT calculation (PBE) of NaBi3Mo after structural relaxation.

The value obtained for the total moment is 0.778 μB per atom. The energy relative to the elements comes out at 6.35 eV/f.u.

The space group is Pm-3m (No. 221) and the conventional cell measures 5.4305, 5.4305 and 5.4305 Å, with angles of 90.00, 90.00 and 90.00 degrees. The asymmetric unit holds Na at (0.0000, 0.0000, 0.0000), Bi at (0.0000, 0.0000, 0.5000) and Mo at (0.5000, 0.5000, 0.5000).